This record from the Alexandria database describes a relaxed structure of Mg2In2Br. The functional is GGA-PBE.

It has space group P4/mbm (No. 127), with a = 8.544 Å, b = 8.544 Å, c = 3.588 Å, α = 90.00°, β = 90.00° and γ = 90.00°. The asymmetric unit holds Mg at (0.184, 0.316, 0.000), In at (0.119, 0.619, 0.500) and Br at (0.000, 0.000, 0.000).

For the mass density, the calculation gives 4.542 g/cm3.



This record from the Alexandria database describes a relaxed structure of MgInBr2. The functional is GGA-PBE.

It has space group C2/m (No. 12), with a = 8.169 Å, b = 8.513 Å, c = 3.790 Å, α = 90.00°, β = 110.63° and γ = 90.00°. The asymmetric unit holds Mg at (0.000, 0.000, 0.000), In at (0.000, 0.500, 0.000) and Br at (0.250, 0.250, 0.500).

For the polymorph energy (0 for the lowest one), the calculation gives 428 meV per atom. For the mass density, the calculation gives 4.024 g/cm3.



This record from the Alexandria database describes a relaxed structure of MgInBr3. The functional is GGA-PBE.

It has space group Pm-3m (No. 221), with a = 5.329 Å, b = 5.329 Å, c = 5.329 Å, α = 90.00°, β = 90.00° and γ = 90.00°. The asymmetric unit holds Mg at (0.000, 0.000, 0.000), In at (0.500, 0.500, 0.500) and Br at (0.000, 0.000, 0.500).

For the mass density, the calculation gives 4.158 g/cm3.



This record from the Alexandria database describes a relaxed structure of MgIn2Br. The functional is GGA-PBE.

It has space group P4/mmm (No. 123), with a = 5.635 Å, b = 5.635 Å, c = 3.442 Å, α = 90.00°, β = 90.00° and γ = 90.00°. The asymmetric unit holds Mg at (0.000, 0.000, 0.000), In at (0.000, 0.500, 0.500) and Br at (0.500, 0.500, 0.000).

For the polymorph energy (0 for the lowest one), the calculation gives 155 meV per atom. For the mass density, the calculation gives 5.072 g/cm3.



This record from the Alexandria database describes a relaxed structure of MgIn2Br. The functional is GGA-PBE.

It has space group R-3m (No. 166, hexagonal axes), with a = 3.6051 Å, b = 3.6051 Å, c = 29.2321 Å, α = 90.00°, β = 90.00° and γ = 120.00°. The asymmetric unit holds Mg at (0.0000, 0.0000, 0.0000), In at (0.0000, 0.0000, 0.2481) and Br at (0.0000, 0.0000, 0.5000).

For the polymorph energy (0 for the lowest one), the calculation gives 177 meV per atom. For the mass density, the calculation gives 5.055 g/cm3.



This record from the Alexandria database describes a relaxed structure of MgInBr. The functional is GGA-PBE.

It has space group P3m1 (No. 156), with a = 3.5823 Å, b = 3.5823 Å, c = 8.3665 Å, α = 90.00°, β = 90.00° and γ = 120.00°. The asymmetric unit holds Mg at (0.0000, 0.0000, 0.0000), In at (0.3333, 0.6667, 0.6979) and Br at (0.6667, 0.3333, 0.1975).

For the polymorph energy (0 for the lowest one), the calculation gives 46 meV per atom. For the mass density, the calculation gives 3.912 g/cm3.



Sequential total energy output: -22.88, -19.25, -14.73, -9.50, -28.23, -7.45 eV for the cell shown
Sequential calculated volume output: 26.19, 30.84, 30.26, 27.32, 27.42, 30.99 A^3/atom
Sequential density of states at the Fermi level output: 2.896, 3.041, 0.000, 1.870, 3.639, 0.821 states/eV/cell